# 1
A plane-wave DFT calculation with GGA-PBE was carried out for a relaxed structure of BaAgAs2F.

Size of the total moment   0.00 μB/cell
Formation energy (no corrections)   -40 kJ/mol of atoms

abc: 4.947 4.814 4.947
angles: 90.00 90.00 90.00
Element x y z (fractional)
As 0.500 0.000 0.000
As 0.000 0.000 0.500
Ba 0.500 0.500 0.500
F 0.000 0.000 0.000
Ag 0.000 0.500 0.000

---

# 2
A plane-wave DFT calculation with GGA-PBE was carried out for a relaxed structure of Ba2TcBr.

Size of the total moment   1.43 μB/cell
Formation energy (no corrections)   -12 kJ/mol of atoms

abc: 3.804 3.791 9.732
angles: 66.98 90.00 90.00
Each line ends with the local moment (μB).
Element x y z (fractional)
Ba 0.000 0.018 0.980  -0.03
Ba 0.000 0.482 0.520  -0.03
Tc 0.500 0.750 0.750  1.43
Br 0.500 0.250 0.250  0.00

---

# 3
A plane-wave DFT calculation with GGA-PBE was carried out for a relaxed structure of Tb5PrTh.

E_form   2.45 eV per formula unit
Size of the total moment   0.00 μB/cell

abc: 5.680 5.680 7.716
angles: 90.00 90.00 90.00
Element x y z (fractional)
Th 0.000 0.000 0.500
Tb 0.000 0.500 0.278
Tb 0.500 0.500 0.000
Tb 0.500 0.000 0.722
Tb 0.000 0.500 0.722
Tb 0.500 0.000 0.278
Pr 0.000 0.000 0.000

---

The records above yield energy values of -3.6047 -4.0931 -4.7005 eV per atom, respectively.